NpAgHg after structural relaxation, computed with PBE.

a b c (Å): 4.8613 4.8613 4.8613
angles (deg): 60.00 60.00 60.00
Sites, in units of the cell vectors:
Np 0.0000 0.0000 0.0000
Ag 0.7500 0.7500 0.7500
Hg 0.5000 0.5000 0.5000

Summary:
**DFT total energy**: -4.845 eV/atom
**Energy of formation**: 1.4 eV/f.u.
**Symmetry**: No. 216
**Total magnetization**: 1.59 μB per atom
**Calculated volume**: 27.1 A^3/atom